## Rb2NpAu2S6 (PBE)

Data for a relaxed structure of Rb2NpAu2S6.

abc: 7.952 7.952 7.952
angles: 55.99 55.99 55.99
Element x y z (fractional)
Rb1 0.228 0.228 0.228
Rb2 0.772 0.772 0.772
Np1 0.000 0.000 0.000
Au1 0.410 0.410 0.410
Au2 0.590 0.590 0.590
S1 0.224 0.768 0.768
S2 0.232 0.232 0.776
S3 0.232 0.776 0.232
S4 0.768 0.224 0.768
S5 0.768 0.768 0.224
S6 0.776 0.232 0.232

Computed properties:
Energy relative to the elements, uncorrected in eV/atom: -0.62